The following is a PBE calculation of crystalline Ba2DyMg3H12 at its relaxed geometry, from Alexandria.

Structure (POSCAR):
```
Ba2DyMg3H12
1.0
3.4706 2.0038 5.4415
-3.4706 2.0038 5.4415
0.0000 -4.0075 5.4415
Ba Dy Mg H
2 1 3 12
direct
0.1141 0.1141 0.1141 Ba
0.8859 0.8859 0.8859 Ba
0.5000 0.5000 0.5000 Dy
0.0000 0.5000 0.5000 Mg
0.5000 0.0000 0.5000 Mg
0.5000 0.5000 0.0000 Mg
0.0961 0.6310 0.6310 H
0.2363 0.2363 0.6280 H
0.2363 0.6280 0.2363 H
0.3690 0.3690 0.9039 H
0.3690 0.9039 0.3690 H
0.3720 0.7637 0.7637 H
0.6280 0.2363 0.2363 H
0.6310 0.0961 0.6310 H
0.6310 0.6310 0.0961 H
0.7637 0.3720 0.7637 H
0.7637 0.7637 0.3720 H
0.9039 0.3690 0.3690 H
```

Energy = -3.2765 eV/atom
Size of the total moment = 0.36 Bohr magnetons per cell

The following is a PBE calculation of crystalline YMnSe2 at its relaxed geometry, from Alexandria.

Structure (POSCAR):
```
YMnSe2
1.0
4.8368 0.0000 0.0000
0.0000 4.8368 0.0000
0.0000 0.0000 3.5408
Y Mn Se
1 1 2
direct
0.0000 0.0000 0.0000 Y
0.5000 0.5000 0.0000 Mn
0.0000 0.5000 0.5000 Se
0.5000 0.0000 0.5000 Se
```

Energy = -6.5000 eV/atom
Size of the total moment = 4.46 Bohr magnetons per cell

The following is a PBE calculation of crystalline CsLiHfTe3 at its relaxed geometry, from Alexandria.

Structure (POSCAR):
```
CsLiHfTe3
1.0
9.9839 0.0000 0.0000
0.0000 4.2859 0.0000
-4.2736 0.0000 10.0247
Cs Li Hf Te
2 2 2 6
direct
0.2289 0.2500 0.2650 Cs
0.7711 0.7500 0.7350 Cs
0.0770 0.2500 0.6029 Li
0.9230 0.7500 0.3971 Li
0.3183 0.7500 0.8417 Hf
0.6817 0.2500 0.1583 Hf
0.1325 0.2500 0.8696 Te
0.2251 0.7500 0.5620 Te
0.4705 0.7500 0.1385 Te
0.5295 0.2500 0.8615 Te
0.7749 0.2500 0.4380 Te
0.8675 0.7500 0.1304 Te
```

Energy = -4.6819 eV/atom
Size of the total moment = 0.00 Bohr magnetons per cell

Number 1 is which compound?
Ba2DyMg3H12